Hf2BiIrPd, optimized geometry, DFT PBE-GGA; ΔE_f = 2.5 eV per formula unit; symmetry = P4/mmm (123)
1.0
5.007 0.000 0.000
0.000 5.154 0.000
0.000 0.000 5.007
Ir Hf Pd Bi
1 2 1 1
Cartesian
0.000 0.000 0.000
0.000 0.000 2.504
2.504 0.000 0.000
2.504 2.577 2.504
0.000 2.577 0.000

Pm3RuPb, optimized geometry, DFT PBE-GGA; distance to the lowest polymorph of the same formula = 0.000 eV/atom; ΔE_f = -1.8 eV per formula unit; symmetry = C2/m (12)
1.0
-0.547 4.642 -0.211
-6.214 1.613 -0.280
-1.783 0.252 10.178
Pm Ru Pb
6 2 2
Cartesian
-6.532 2.760 5.575
-5.287 2.651 -0.048
-3.512 3.226 8.011
-2.433 0.664 0.715
-2.973 3.083 3.457
-5.828 5.070 2.694
-0.914 0.951 3.079
-1.133 3.171 0.610
-6.455 5.228 7.806
-4.136 5.400 5.569

TaRe, optimized geometry, DFT PBE-GGA; ΔE_f = 0.3 eV per formula unit; symmetry = P-3m1 (164)
1.0
-0.339 -2.077 -1.907
6.840 -5.177 4.421
-1.540 0.002 2.386
Ta Re
2 2
Cartesian
3.348 -2.534 2.164
4.463 -5.321 2.886
0.861 -2.595 0.558
0.110 -0.083 0.071

What did the third record say?
TaRe, optimized geometry, DFT PBE-GGA; ΔE_f = 0.3 eV per formula unit; symmetry = P-3m1 (164)
1.0
-0.339 -2.077 -1.907
6.840 -5.177 4.421
-1.540 0.002 2.386
Ta Re
2 2
Cartesian
3.348 -2.534 2.164
4.463 -5.321 2.886
0.861 -2.595 0.558
0.110 -0.083 0.071